[1]
# CaMgW2

A relaxed structure of CaMgW2 (PBEsol, the Alexandria database).

Computed properties:
DOS(E_F) (states/eV/f.u.): 1.9
VASP energy (eV per atom): -7.18
Space-group type: Cm (8)

abc: 2.7422 4.8483 6.0268
angles: 92.29 90.00 106.43
Closest atoms and distances in Å follow each position.
Fractional positions:
1 Ca 0.5006 0.0013 0.4934  2 Ca 2.74, 1 Mg 2.91, 1 W 2.94
2 Mg 0.2576 0.5151 0.7809  2 Mg 2.74, 5 W 2.89-2.93, 1 Ca 2.91
3 W 0.9949 0.9899 0.0222  5 W 2.59-2.89, 1 Mg 2.89
4 W 0.7469 0.4937 0.2036  5 W 2.59-2.89, 2 Mg 2.90



[2]
# LiV3Zn2O8

A relaxed structure of LiV3Zn2O8 (PBEsol, the Alexandria database).

Computed properties:
DOS(E_F) (states/eV/f.u.): 7.2
Raw formation energy (eV/atom): -2.0887
Space-group type: R-3m (166)

abc: 5.8954 5.8954 5.7768
angles: 89.98 119.36 121.33
Closest atoms and distances in Å follow each position.
Fractional positions:
1 Li 0.5000 0.5000 0.0000  6 O 2.06
2 V 0.0000 0.5000 0.5000  6 O 1.93-2.00
3 V 0.0000 0.5000 0.0000  6 O 1.93-2.00
4 V 0.5000 0.0000 0.0000  6 O 1.93-2.00
5 Zn 0.2551 0.1223 0.3774  4 O 1.93-1.97
6 Zn 0.7449 0.8777 0.6226  4 O 1.93-1.97
7 O 0.0143 0.7428 0.7571  1 Zn 1.97, 3 V 2.00
8 O 0.9857 0.2572 0.2429  1 Zn 1.97, 3 V 2.00
9 O 0.0041 0.2851 0.7521  2 V 1.93, 1 Zn 1.93, 1 Li 2.06
10 O 0.9959 0.7149 0.2479  2 V 1.93, 1 Zn 1.93, 1 Li 2.06
11 O 0.5330 0.2519 0.7848  2 V 1.93, 1 Zn 1.93, 1 Li 2.06
12 O 0.5330 0.2519 0.2479  2 V 1.93, 1 Zn 1.93, 1 Li 2.06
13 O 0.4670 0.7481 0.7521  2 V 1.93, 1 Zn 1.93, 1 Li 2.06
14 O 0.4670 0.7481 0.2152  2 V 1.93, 1 Zn 1.93, 1 Li 2.06



[3]
# SrMnPO2

A relaxed structure of SrMnPO2 (PBEsol, the Alexandria database).

Computed properties:
DOS(E_F) (states/eV/f.u.): 3.8
Raw formation energy (eV/atom): 0.3825
Space-group type: P4/mmm (123)

abc: 4.1242 4.1242 6.0717
angles: 90.00 90.00 90.00
Closest atoms and distances in Å follow each position.
Fractional positions:
1 Sr 0.0000 0.0000 0.0000  4 O 2.06
2 Mn 0.5000 0.5000 0.5000  4 P 2.92
3 O 0.0000 0.5000 0.0000  2 Sr 2.06
4 O 0.5000 0.0000 0.0000  2 Sr 2.06
5 P 0.0000 0.0000 0.5000  4 Mn 2.92, 2 Sr 3.04



[4]
# TcGeSeS2

A relaxed structure of TcGeSeS2 (PBEsol, the Alexandria database).

Computed properties:
DOS(E_F) (states/eV/f.u.): 3.1
Raw formation energy (eV/atom): 0.9517
Space-group type: P4/mmm (123)

abc: 4.5518 4.5518 5.0077
angles: 90.00 90.00 90.00
Closest atoms and distances in Å follow each position.
Fractional positions:
1 S 0.0000 0.5000 0.0000  2 Ge 2.28
2 S 0.5000 0.0000 0.0000  2 Ge 2.28
3 Ge 0.0000 0.0000 0.0000  4 S 2.28, 2 Se 2.50
4 Tc 0.5000 0.5000 0.5000  4 Se 3.22, 8 S 3.38
5 Se 0.0000 0.0000 0.5000  2 Ge 2.50



[5]
# AlCdRe2

A relaxed structure of AlCdRe2 (PBEsol, the Alexandria database).

Computed properties:
DOS(E_F) (states/eV/f.u.): 3.2
VASP energy (eV per atom): -7.70
Space-group type: R-3m (166)

abc: 2.7810 2.7810 9.3744
angles: 81.47 81.47 60.00
Closest atoms and distances in Å follow each position.
Fractional positions:
1 Re 0.2444 0.2444 0.2668  3 Al 2.69, 6 Re 2.78, 3 Cd 2.94
2 Re 0.7556 0.7556 0.7332  3 Al 2.69, 6 Re 2.78, 3 Cd 2.94
3 Al 0.5000 0.5000 0.5000  6 Re 2.69, 6 Al 2.78
4 Cd 0.0000 0.0000 0.0000  6 Cd 2.78, 6 Re 2.94



[6]
# TeW3C

A relaxed structure of TeW3C (PBEsol, the Alexandria database).

Computed properties:
DOS(E_F) (states/eV/f.u.): 4.3
Raw formation energy (eV/atom): 0.6705
Space-group type: Pm-3m (221)

abc: 4.2099 4.2099 4.2099
angles: 90.00 90.00 90.00
Closest atoms and distances in Å follow each position.
Fractional positions:
1 C 0.0000 0.0000 0.0000  6 W 2.10
2 Te 0.5000 0.5000 0.5000  12 W 2.98
3 W 0.0000 0.5000 0.0000  2 C 2.10
4 W 0.0000 0.0000 0.5000  2 C 2.10
5 W 0.5000 0.0000 0.0000  2 C 2.10



[7]
# HgRuBr2

A relaxed structure of HgRuBr2 (PBEsol, the Alexandria database).

Computed properties:
DOS(E_F) (states/eV/f.u.): 4.2
Raw formation energy (eV/atom): 0.7340
Space-group type: Pmmm (47)

abc: 3.3957 4.3168 5.8511
angles: 90.00 90.00 90.00
Closest atoms and distances in Å follow each position.
Fractional positions:
1 Ru 0.0000 0.5000 0.5000  4 Br 2.75
2 Hg 0.5000 0.5000 0.0000  4 Br 2.75
3 Br 0.0000 0.0000 0.0000  4 Hg 2.75
4 Br 0.5000 0.0000 0.5000  4 Ru 2.75



[8]
# Fe2PtCl

A relaxed structure of Fe2PtCl (PBEsol, the Alexandria database).

Computed properties:
DOS(E_F) (states/eV/f.u.): 2.9
Raw formation energy (eV/atom): 0.2166
Space-group type: Cmm2 (35)

abc: 2.7522 2.7522 8.6161
angles: 90.00 90.00 116.62
Closest atoms and distances in Å follow each position.
Fractional positions:
1 Fe 0.0000 0.0000 0.9922  2 Cl 2.30, 2 Fe 2.37
2 Fe 0.5000 0.5000 0.7737  2 Fe 2.37, 2 Pt 2.52
3 Pt 0.0000 0.0000 0.5339  2 Fe 2.52, 4 Pt 2.75
4 Cl 0.5000 0.5000 0.2002  2 Fe 2.30



[9]
# KSr2P

A relaxed structure of KSr2P (PBEsol, the Alexandria database).

Computed properties:
DOS(E_F) (states/eV/f.u.): 2.8
VASP energy (eV per atom): -3.03
Space-group type: P4mm (99)

abc: 4.2745 4.2745 9.6563
angles: 90.00 90.00 90.00
Closest atoms and distances in Å follow each position.
Fractional positions:
1 K 0.0000 0.0000 0.5297  1 Sr 3.59
2 P 0.5000 0.5000 0.8858  5 Sr 2.86-3.03
3 Sr 0.0000 0.0000 0.9020  4 P 3.03
4 Sr 0.5000 0.5000 0.1824  1 P 2.86



[10]
# CdMo2Os

A relaxed structure of CdMo2Os (PBEsol, the Alexandria database).

Computed properties:
DOS(E_F) (states/eV/f.u.): 3.8
VASP energy (eV per atom): -8.78
Space-group type: Imm2 (44)

abc: 3.0407 4.6098 5.3171
angles: 115.69 106.61 90.00
Closest atoms and distances in Å follow each position.
Fractional positions:
1 Cd 0.2472 0.7472 0.4944  8 Mo 2.76-3.09, 2 Os 2.85, 2 Cd 3.04
2 Mo 0.0204 0.0204 0.0408  2 Mo 2.59, 4 Os 2.78
3 Mo 0.7506 0.2506 0.5012  2 Mo 2.59, 2 Os 2.59, 4 Cd 2.76
4 Os 0.4818 0.4818 0.9636  6 Mo 2.59-2.78, 2 Cd 2.85



[11]
# TlTcSb2

A relaxed structure of TlTcSb2 (PBEsol, the Alexandria database).

Computed properties:
DOS(E_F) (states/eV/f.u.): 1.8
Raw formation energy (eV/atom): -0.0020
Space-group type: P4/mmm (123)

abc: 3.2485 3.2484 8.4275
angles: 90.03 90.00 90.00
Closest atoms and distances in Å follow each position.
Fractional positions:
1 Sb 0.0000 0.0005 0.6907  4 Tc 2.80
2 Sb 0.0000 0.9995 0.3093  4 Tc 2.80
3 Tl 0.5000 0.5000 0.0000  4 Tl 3.25, 8 Sb 3.47-3.48
4 Tc 0.5000 0.5000 0.5000  8 Sb 2.80



[12]
# La3MgPt

A relaxed structure of La3MgPt (PBEsol, the Alexandria database).

Computed properties:
DOS(E_F) (states/eV/f.u.): 7.4
VASP energy (eV per atom): -4.08
Space-group type: Pm-3m (221)

abc: 5.5531 5.5531 5.5531
angles: 90.00 90.00 90.00
Closest atoms and distances in Å follow each position.
Fractional positions:
1 Mg 0.0000 0.0000 0.0000  6 La 2.78
2 Pt 0.5000 0.5000 0.5000  12 La 3.93
3 La 0.0000 0.5000 0.0000  2 Mg 2.78
4 La 0.0000 0.0000 0.5000  2 Mg 2.78
5 La 0.5000 0.0000 0.0000  2 Mg 2.78